# 1
A relaxed structure of Pr2Sm3. Source: Alexandria via LeMat-Bulk, functional PBE.

Computed properties:
* calculated formation energy: 0.361 eV/atom
* energy above the lowest structure with this stoichiometry: 0.322 eV/atom
* energy: -4.38 eV per atom
* total magnetization: 0.00 μB/f.u.

Lattice parameters (Å, degrees): 6.2268 6.2268 11.9434 74.89 74.89 60.00
Fractional positions:
Pr  0.1658  0.1658  0.5027
Pr  0.3342  0.3342  0.9973
Pr  0.8342  0.8342  0.4973
Pr  0.6657  0.6657  0.0027
Sm  0.5857  0.9143  0.2500
Sm  0.7500  0.4143  0.7500
Sm  0.4143  0.0857  0.7500
Sm  0.2500  0.5857  0.2500
Sm  0.0857  0.7500  0.7500
Sm  0.9143  0.2500  0.2500

# 2
A relaxed structure of K3ScTi2Se6. Source: Alexandria via LeMat-Bulk, functional PBE.

Computed properties:
* ΔE_f (raw): -1319 meV/atom
* energy: -5.18 eV per atom
* total magnetization: 2.02 μB/f.u.

Lattice parameters (Å, degrees): 6.7481 6.7481 7.9569 98.14 98.14 120.02
Fractional positions:
Se  0.4051  0.0643  0.1930
Se  0.9357  0.5949  0.8070
Se  0.0643  0.4051  0.1930
Se  0.7231  0.7231  0.1917
Se  0.2769  0.2769  0.8083
Se  0.5949  0.9357  0.8070
K  0.8356  0.1644  0.5000
K  0.1644  0.8356  0.5000
K  0.5000  0.5000  0.5000
Sc  0.0000  0.0000  0.0000
Ti  0.6675  0.3325  0.0000
Ti  0.3325  0.6675  0.0000

# 3
A relaxed structure of Li4Er9In11. Source: Alexandria via LeMat-Bulk, functional PBE.

Computed properties:
* calculated formation energy: -0.360 eV/atom
* energy: -3.64 eV per atom
* total magnetization: 0.31 μB/f.u.

Lattice parameters (Å, degrees): 3.4189 13.3675 13.3675 109.35 90.00 90.00
Fractional positions:
Er  0.5000  0.5000  0.5000
Er  0.5000  0.6388  0.1422
Er  0.5000  0.9339  0.7796
Er  0.5000  0.7796  0.9339
Er  0.5000  0.0661  0.2204
Er  0.5000  0.2204  0.0661
Er  0.5000  0.8578  0.3612
Er  0.5000  0.3612  0.8578
Er  0.5000  0.1422  0.6388
In  0.0000  0.3617  0.6383
In  0.0000  0.5738  0.9239
In  0.0000  0.2986  0.2986
In  0.0000  0.1527  0.8473
In  0.0000  0.9239  0.5738
In  0.0000  0.7014  0.7014
In  0.0000  0.0761  0.4262
In  0.0000  0.8473  0.1527
In  0.0000  0.0000  0.0000
In  0.0000  0.4262  0.0761
In  0.0000  0.6383  0.3617
Li  0.5000  0.5442  0.7455
Li  0.5000  0.7455  0.5442
Li  0.5000  0.2545  0.4558
Li  0.5000  0.4558  0.2545